Here is a geometry-optimized Nd2ThCl structure from Alexandria. Energies are from PBE.

Output
As for the crystal system: trigonal. The calculated total energy comes out at -0.1984 hartree per atom. The formation energy without anion corrections comes out at -0.698 eV/atom. The energy above the most stable polymorph in this dataset is 0.00 kcal/mol of atoms.

a b c (Å): 3.7249 3.7249 30.0807
angles (deg): 90.00 90.00 120.00
Space group R-3m (No. 166, hexagonal axes)
One atom of each set of equivalent atoms:
Nd  0.0000  0.0000  0.2405 x6
Th  0.0000  0.0000  0.0000 x3
Cl  0.0000  0.0000  0.5000 x3